Entry 1:
Compound: Ti3AlOs
Source: Alexandria via LeMat-Bulk
Functional: SCAN
Structure: PBEsol geometry

* formation energy from the elements: 1.1901 eV/atom

Unit cell a=4.4788 b=4.4788 c=4.4788 alpha=90.00 beta=90.00 gamma=90.00
Closest atoms and distances in Å follow each position.
Positions (direct):
Os 0.5000 0.5000 0.5000  12 Ti 3.17
Al 0.0000 0.0000 0.0000  6 Ti 2.24
Ti 0.0000 0.5000 0.0000  2 Al 2.24
Ti 0.0000 0.0000 0.5000  2 Al 2.24
Ti 0.5000 0.0000 0.0000  2 Al 2.24

Entry 2:
Compound: In2Sn2Te
Source: Alexandria via LeMat-Bulk
Functional: SCAN
Structure: PBEsol geometry

* ΔE_f (raw): 0.63 eV per formula unit

Unit cell a=4.2074 b=4.2074 c=8.3952 alpha=104.51 beta=104.51 gamma=90.00
Closest atoms and distances in Å follow each position.
Positions (direct):
Te 0.0000 0.0000 0.0000  8 Sn 3.33
Sn 0.4042 0.4042 0.8085  1 Sn 3.01, 4 In 3.21, 4 Te 3.33
Sn 0.5958 0.5958 0.1915  1 Sn 3.01, 4 In 3.21, 4 Te 3.33
In 0.2500 0.7500 0.5000  4 In 2.98, 4 Sn 3.21
In 0.7500 0.2500 0.5000  4 In 2.98, 4 Sn 3.21

Entry 3:
Compound: Ca2ZnAg
Source: Alexandria via LeMat-Bulk
Functional: SCAN
Structure: PBEsol geometry

* formation energy from the elements: -0.3157 eV/atom

Unit cell a=4.0251 b=4.5088 c=5.9502 alpha=90.00 beta=109.77 gamma=90.00
Closest atoms and distances in Å follow each position.
Positions (direct):
Zn 0.6929 0.0000 0.3858  2 Ag 2.70
Ca 0.9807 0.0000 0.9615  3 Zn 3.11-3.22, 4 Ag 3.15
Ca 0.2702 0.5000 0.5405  3 Ag 3.10-3.24, 4 Zn 3.14
Ag 0.5595 0.5000 0.1190  2 Zn 2.70

Entry 4:
Compound: TlCu2S
Source: Alexandria via LeMat-Bulk
Functional: SCAN
Structure: PBEsol geometry

* ΔE_f (raw): 1.48 eV per formula unit

Unit cell a=4.5204 b=4.5204 c=4.5204 alpha=60.00 beta=60.00 gamma=60.00
Closest atoms and distances in Å follow each position.
Positions (direct):
Tl 0.5000 0.5000 0.5000  8 Cu 2.77
S 0.0000 0.0000 0.0000  8 Cu 2.77
Cu 0.2500 0.2500 0.2500  4 S 2.77, 4 Tl 2.77
Cu 0.7500 0.7500 0.7500  4 S 2.77, 4 Tl 2.77

Entry 5:
Compound: FeNiP
Source: Alexandria via LeMat-Bulk
Functional: SCAN
Structure: PBEsol geometry

* formation energy from the elements: -0.4114 eV/atom

Unit cell a=3.6271 b=3.6271 c=3.6271 alpha=60.00 beta=60.00 gamma=60.00
Closest atoms and distances in Å follow each position.
Positions (direct):
Ni 0.5000 0.5000 0.5000  4 P 2.22
Fe 0.0000 0.0000 0.0000  4 P 2.22
P 0.7500 0.7500 0.7500  4 Fe 2.22, 4 Ni 2.22

Entry 6:
Compound: Sb2IrPbI
Source: Alexandria via LeMat-Bulk
Functional: SCAN
Structure: PBEsol geometry

* ΔE_f (raw): 9.10 eV per formula unit

Unit cell a=5.6119 b=5.6119 c=5.6755 alpha=90.00 beta=90.00 gamma=90.00
Closest atoms and distances in Å follow each position.
Positions (direct):
Pb 0.0000 0.0000 0.0000  4 Sb 2.81, 2 I 2.84
I 0.0000 0.0000 0.5000  2 Pb 2.84
Ir 0.5000 0.5000 0.5000  4 I 3.97, 8 Sb 3.99
Sb 0.0000 0.5000 0.0000  2 Pb 2.81
Sb 0.5000 0.0000 0.0000  2 Pb 2.81

Entry 7:
Compound: Sr3GdRhO6
Source: Alexandria via LeMat-Bulk
Functional: SCAN
Structure: PBEsol geometry

* ΔE_f (raw): -30.99 eV per formula unit

Unit cell a=6.7693 b=6.7693 c=6.7693 alpha=91.85 beta=91.85 gamma=91.85
Closest atoms and distances in Å follow each position.
Positions (direct):
Sr 0.1192 0.7500 0.3808  8 O 2.52-2.72
Sr 0.7500 0.3808 0.1192  8 O 2.52-2.72
Sr 0.3808 0.1192 0.7500  8 O 2.52-2.72
Sr 0.8808 0.2500 0.6192  8 O 2.52-2.72
Sr 0.6192 0.8808 0.2500  8 O 2.52-2.72
Sr 0.2500 0.6192 0.8808  8 O 2.52-2.72
Gd 0.2500 0.2500 0.2500  6 O 2.29
Gd 0.7500 0.7500 0.7500  6 O 2.29
Rh 0.0000 0.0000 0.0000  6 O 2.07
Rh 0.5000 0.5000 0.5000  6 O 2.07
O 0.2907 0.9525 0.0871  1 Rh 2.07, 1 Gd 2.29
O 0.0871 0.2907 0.9525  1 Rh 2.07, 1 Gd 2.29
O 0.9525 0.0871 0.2907  1 Rh 2.07, 1 Gd 2.29
O 0.5475 0.2093 0.4129  1 Rh 2.07, 1 Gd 2.29
O 0.4129 0.5475 0.2093  1 Rh 2.07, 1 Gd 2.29
O 0.2093 0.4129 0.5475  1 Rh 2.07, 1 Gd 2.29
O 0.7093 0.0475 0.9129  1 Rh 2.07, 1 Gd 2.29
O 0.9129 0.7093 0.0475  1 Rh 2.07, 1 Gd 2.29
O 0.0475 0.9129 0.7093  1 Rh 2.07, 1 Gd 2.29
O 0.4525 0.7907 0.5871  1 Rh 2.07, 1 Gd 2.29
O 0.7907 0.5871 0.4525  1 Rh 2.07, 1 Gd 2.29
O 0.5871 0.4525 0.7907  1 Rh 2.07, 1 Gd 2.29

Entry 8:
Compound: Dy2PdRu
Source: Alexandria via LeMat-Bulk
Functional: SCAN
Structure: PBEsol geometry

* formation energy from the elements: -0.7412 eV/atom

Unit cell a=4.7923 b=4.7923 c=4.7923 alpha=60.00 beta=60.00 gamma=60.00
Closest atoms and distances in Å follow each position.
Positions (direct):
Ru 0.5000 0.5000 0.5000  8 Dy 2.93
Pd 0.0000 0.0000 0.0000  8 Dy 2.93
Dy 0.7500 0.7500 0.7500  4 Ru 2.93, 4 Pd 2.93
Dy 0.2500 0.2500 0.2500  4 Ru 2.93, 4 Pd 2.93

Entry 9:
Compound: Fe3Re
Source: Alexandria via LeMat-Bulk
Functional: SCAN
Structure: PBEsol geometry

* formation energy from the elements: 0.0219 eV/atom

Unit cell a=2.5228 b=4.7644 c=4.7644 alpha=116.95 beta=100.17 gamma=100.17
Closest atoms and distances in Å follow each position.
Positions (direct):
Re 0.0000 0.0000 0.0000  6 Fe 2.49, 2 Re 2.52
Fe 0.5000 0.5000 0.0000  2 Re 2.49, 6 Fe 2.49-2.52
Fe 0.5000 0.0000 0.5000  6 Fe 2.49-2.52, 2 Re 2.49
Fe 0.0000 0.5000 0.5000  6 Fe 2.49-2.52, 2 Re 2.49

Entry 10:
Compound: PWAu2
Source: Alexandria via LeMat-Bulk
Functional: SCAN
Structure: PBEsol geometry

* formation energy from the elements: 0.3238 eV/atom
* offset from the most stable computed form: 0 meV per atom

Unit cell a=2.7623 b=2.7623 c=9.1453 alpha=90.00 beta=90.00 gamma=108.04
Closest atoms and distances in Å follow each position.
Positions (direct):
Au 0.0000 0.0000 0.0132  6 Au 2.76-2.86, 2 W 2.83
Au 0.5000 0.5000 0.7557  6 Au 2.76-2.86
P 0.0000 0.0000 0.4645  2 W 2.43
W 0.5000 0.5000 0.2666  2 P 2.43

Entry 11:
Compound: BeNbP3
Source: Alexandria via LeMat-Bulk
Functional: SCAN
Structure: PBEsol geometry

* formation energy from the elements: 0.9236 eV/atom

Unit cell a=4.7490 b=4.7490 c=4.7490 alpha=90.00 beta=90.00 gamma=90.00
Closest atoms and distances in Å follow each position.
Positions (direct):
P 0.0000 0.5000 0.0000  2 Nb 2.37
P 0.0000 0.0000 0.5000  2 Nb 2.37
P 0.5000 0.0000 0.0000  2 Nb 2.37
Nb 0.0000 0.0000 0.0000  6 P 2.37
Be 0.5000 0.5000 0.5000  12 P 3.36

Entry 12:
Compound: La2TcAu
Source: Alexandria via LeMat-Bulk
Functional: SCAN
Structure: PBEsol geometry

* formation energy from the elements: -0.0365 eV/atom

Unit cell a=3.7237 b=3.7237 c=7.3782 alpha=90.00 beta=90.00 gamma=90.00
Closest atoms and distances in Å follow each position.
Positions (direct):
Au 0.5000 0.5000 0.7155  4 Tc 2.88, 5 La 2.92-2.99
La 0.0000 0.0000 0.9075  1 Tc 2.58
La 0.5000 0.5000 0.3198  1 Au 2.92, 4 Tc 3.16
Tc 0.0000 0.0000 0.5572  1 La 2.58, 4 Au 2.88

Entry 13:
Compound: InFePS2
Source: Alexandria via LeMat-Bulk
Functional: SCAN
Structure: PBEsol geometry

* ΔE_f (raw): 5.20 eV per formula unit

Unit cell a=4.9071 b=4.8976 c=4.8976 alpha=90.00 beta=90.00 gamma=90.00
Closest atoms and distances in Å follow each position.
Positions (direct):
P 0.5000 0.0000 0.0000  2 In 2.45
S 0.0000 0.0000 0.5000  2 In 2.45
S 0.0000 0.5000 0.0000  2 In 2.45
Fe 0.5000 0.5000 0.5000  4 P 3.46, 8 S 3.47
In 0.0000 0.0000 0.0000  4 S 2.45, 2 P 2.45

Entry 14:
Compound: Sc3AgN
Source: Alexandria via LeMat-Bulk
Functional: SCAN
Structure: PBEsol geometry

* offset from the most stable computed form: 0 meV per atom
* ΔE_f (raw): -5.52 eV per formula unit

Unit cell a=6.1457 b=6.1477 c=6.2035 alpha=119.70 beta=119.61 gamma=90.00
Closest atoms and distances in Å follow each position.
Positions (direct):
Sc 0.7500 0.7399 0.0000  2 N 2.22
Sc 0.2500 0.2601 0.0000  2 N 2.22
Sc 0.2079 0.7079 0.5100  2 N 2.21
Sc 0.2921 0.1979 0.4900  2 N 2.21
Sc 0.7921 0.2921 0.4900  2 N 2.21
Sc 0.7079 0.8021 0.5100  2 N 2.21
Ag 0.2500 0.7480 0.0000  7 Sc 2.80-3.07
Ag 0.7500 0.2520 0.0000  7 Sc 2.80-3.07
N 0.0000 0.0000 0.5000  6 Sc 2.21-2.22
N 0.5000 0.5000 0.5000  6 Sc 2.21-2.22

Entry 15:
Compound: Ti3HgBi
Source: Alexandria via LeMat-Bulk
Functional: SCAN
Structure: PBEsol geometry

* formation energy from the elements: 1.0207 eV/atom

Unit cell a=5.0530 b=5.0530 c=5.0530 alpha=90.00 beta=90.00 gamma=90.00
Closest atoms and distances in Å follow each position.
Positions (direct):
Ti 0.0000 0.5000 0.0000  2 Bi 2.53
Ti 0.0000 0.0000 0.5000  2 Bi 2.53
Ti 0.5000 0.0000 0.0000  2 Bi 2.53
Bi 0.0000 0.0000 0.0000  6 Ti 2.53
Hg 0.5000 0.5000 0.5000  12 Ti 3.57

Entry 16:
Compound: AgMo2Cl
Source: Alexandria via LeMat-Bulk
Functional: SCAN
Structure: PBEsol geometry

* offset from the most stable computed form: 559 meV per atom
* ΔE_f (raw): 4.40 eV per formula unit

Unit cell a=4.4004 b=4.4004 c=4.4004 alpha=60.00 beta=60.00 gamma=60.00
Closest atoms and distances in Å follow each position.
Positions (direct):
Mo 0.7500 0.7500 0.7500  4 Ag 2.69, 4 Cl 2.69
Mo 0.2500 0.2500 0.2500  4 Cl 2.69, 4 Ag 2.69
Ag 0.0000 0.0000 0.0000  8 Mo 2.69
Cl 0.5000 0.5000 0.5000  8 Mo 2.69

Entry 17:
Compound: NaGePCO7
Source: Alexandria via LeMat-Bulk
Functional: SCAN
Structure: PBEsol geometry

* ΔE_f (raw): -21.57 eV per formula unit

Unit cell a=4.9011 b=6.1631 c=8.9406 alpha=90.00 beta=87.86 gamma=90.00
Closest atoms and distances in Å follow each position.
Positions (direct):
Na 0.9421 0.7259 0.8843  5 O 2.39-2.65
Na 0.0579 0.2259 0.1157  5 O 2.39-2.65
Ge 0.7596 0.2277 0.6608  6 O 1.83-1.96
Ge 0.2404 0.7277 0.3392  6 O 1.83-1.96
P 0.7166 0.7278 0.5660  4 O 1.53-1.55
P 0.2834 0.2278 0.4340  4 O 1.53-1.55
C 0.6107 0.2275 0.9150  3 O 1.24-1.35
C 0.3893 0.7275 0.0850  3 O 1.24-1.35
O 0.4650 0.7270 0.9512  1 C 1.24
O 0.8750 0.2280 0.8687  1 C 1.35
O 0.4529 0.2274 0.7989  1 C 1.32
O 0.7744 0.9212 0.6694  1 P 1.54
O 0.7742 0.5341 0.6693  1 P 1.54
O 0.1065 0.2278 0.5782  1 P 1.53
O 0.4147 0.7278 0.5203  1 P 1.55
O 0.5853 0.2278 0.4797  1 P 1.55
O 0.8935 0.7278 0.4218  1 P 1.53
O 0.2258 0.0341 0.3307  1 P 1.54
O 0.2256 0.4212 0.3306  1 P 1.54
O 0.5471 0.7274 0.2011  1 C 1.32
O 0.1250 0.7280 0.1313  1 C 1.35
O 0.5350 0.2270 0.0488  1 C 1.24

Entry 18:
Compound: Tl3VO4
Source: Alexandria via LeMat-Bulk
Functional: SCAN
Structure: PBEsol geometry

* ΔE_f (raw): -13.33 eV per formula unit

Unit cell a=5.8496 b=5.9451 c=5.9451 alpha=64.96 beta=60.53 gamma=60.53
Closest atoms and distances in Å follow each position.
Positions (direct):
Tl 0.2338 0.2960 0.2364  3 O 2.48-2.65
Tl 0.0000 0.0450 0.9550  4 O 2.49-2.76
Tl 0.7662 0.7636 0.7040  3 O 2.48-2.65
V 0.5000 0.5087 0.4913  4 O 1.71-1.73
O 0.6737 0.4860 0.1666  1 V 1.71
O 0.3263 0.8334 0.5140  1 V 1.71
O 0.7468 0.3592 0.6408  1 V 1.73
O 0.2532 0.3592 0.6408  1 V 1.73

Entry 19:
Compound: MoS3Br
Source: Alexandria via LeMat-Bulk
Functional: SCAN
Structure: PBEsol geometry

* ΔE_f (raw): 7.19 eV per formula unit

Unit cell a=4.7250 b=4.7250 c=4.7250 alpha=90.00 beta=90.00 gamma=90.00
Closest atoms and distances in Å follow each position.
Positions (direct):
Mo 0.5000 0.5000 0.5000  12 S 3.34
S 0.0000 0.5000 0.0000  2 Br 2.36
S 0.0000 0.0000 0.5000  2 Br 2.36
S 0.5000 0.0000 0.0000  2 Br 2.36
Br 0.0000 0.0000 0.0000  6 S 2.36

Entry 20:
Compound: Ba2CdCu
Source: Alexandria via LeMat-Bulk
Functional: SCAN
Structure: PBEsol geometry

* formation energy from the elements: -0.1275 eV/atom

Unit cell a=4.7374 b=4.7930 c=6.5512 alpha=90.00 beta=111.20 gamma=90.00
Closest atoms and distances in Å follow each position.
Positions (direct):
Ba 0.9819 0.0000 0.9638  3 Cd 3.40-3.67, 4 Cu 3.54
Ba 0.2667 0.5000 0.5334  3 Cu 3.36-3.72, 4 Cd 3.53
Cu 0.5716 0.5000 0.1431  2 Cd 2.75
Cd 0.6819 0.0000 0.3638  2 Cu 2.75

no.,E (eV/atom),density of states at the Fermi level (states/eV per cell)
1,-24.3541,7.377
2,-35.0469,3.099
3,-16.3680,2.449
4,-27.7250,0.757
5,-15.3119,1.891
6,-49.8080,4.339
7,-20.7078,0.000
8,-41.5395,1.686
9,-31.3496,2.378
10,-54.2763,1.833
11,-12.8123,2.835
12,-47.6432,3.429
13,-15.1941,5.245
14,-17.7774,8.862
15,-37.9463,5.330
16,-26.1780,1.866
17,-9.9081,0.000
18,-34.1017,0.000
19,-15.2070,4.082
20,-31.3060,3.310